Entry 1:
Density functional theory data (PBE-GGA) for a geometry-optimized CePr14Th structure.

Values from the calculation:
The crystal system is tetragonal. The total energy comes out at -4.97 eV/atom.

Lattice parameters (Å, degrees): 7.3651 7.3651 10.5152 90.00 90.00 90.00
Space group P4/mmm (No. 123)
Inequivalent atoms, fractional coordinates:
Ce 0.0000 0.0000 0.0000 (multiplicity 1)
Pr 0.0000 0.0000 0.5000 (multiplicity 1)
Pr 0.0000 0.5000 0.0000 (multiplicity 2)
Pr 0.0000 0.5000 0.5000 (multiplicity 2)
Pr 0.2516 0.2516 0.2452 (multiplicity 8)
Pr 0.5000 0.5000 0.5000 (multiplicity 1)
Th 0.5000 0.5000 0.0000 (multiplicity 1)

Entry 2:
Density functional theory data (PBE-GGA) for a geometry-optimized CePr2Th structure.

Values from the calculation:
The crystal system is trigonal. The total energy comes out at -5.54 eV/atom.

Lattice parameters (Å, degrees): 3.5442 3.5442 37.5008 90.00 90.00 120.00
Space group R-3m (No. 166, hexagonal axes)
Inequivalent atoms, fractional coordinates:
Ce 0.0000 0.0000 0.0000 (multiplicity 3)
Pr 0.0000 0.0000 0.0898 (multiplicity 6)
Th 0.0000 0.0000 0.5000 (multiplicity 3)

Entry 3:
Density functional theory data (PBE-GGA) for a geometry-optimized CePr2Th4 structure.

Values from the calculation:
The crystal system is orthorhombic. The total energy comes out at -6.39 eV/atom.

Lattice parameters (Å, degrees): 3.5517 36.4137 3.5568 90.00 90.00 90.00
Space group Cmmm (No. 65)
Inequivalent atoms, fractional coordinates:
Ce 0.0000 0.0000 0.0000 (multiplicity 2)
Pr 0.0000 0.2946 0.5000 (multiplicity 4)
Th 0.0000 0.1343 0.0000 (multiplicity 4)
Th 0.0000 0.4335 0.5000 (multiplicity 4)

Entry 4:
Density functional theory data (PBE-GGA) for a geometry-optimized CePrTh structure.

Values from the calculation:
The crystal system is tetragonal. The total energy comes out at -5.75 eV/atom.

Lattice parameters (Å, degrees): 4.0936 4.0936 25.3889 90.00 90.00 90.00
Space group I4/mmm (No. 139)
Inequivalent atoms, fractional coordinates:
Ce 0.0000 0.0000 0.1553 (multiplicity 4)
Pr 0.0000 0.0000 0.4281 (multiplicity 4)
Th 0.0000 0.0000 0.2865 (multiplicity 4)